Entry 1:
## TlMo2Se (PBE)

Data for a relaxed structure of TlMo2Se.

The energy relative to the elements, uncorrected is 0.366 eV/atom. As for the symmetry: Cmm2. The volume is 20.90 Å³ per atom. The calculation puts the energy above the most stable polymorph in this dataset at 170 meV/atom.

Lattice parameters (Å, degrees): 2.969 2.969 10.191 90.00 90.00 111.46
Fractional positions:
1 Tl 0.000 0.000 0.000
2 Mo 0.000 0.000 0.548
3 Mo 0.500 0.500 0.739
4 Se 0.500 0.500 0.347

---

Entry 2:
## TlMo2Se (PBE)

Data for a relaxed structure of TlMo2Se.

The energy relative to the elements, uncorrected is 0.474 eV/atom. As for the symmetry: C2/m. The volume is 20.78 Å³ per atom. The calculation puts the energy above the most stable polymorph in this dataset at 278 meV/atom.

Lattice parameters (Å, degrees): 4.909 4.909 5.888 108.20 108.20 38.38
Fractional positions:
1 Tl 0.000 0.000 0.000
2 Mo 0.241 0.241 0.654
3 Mo 0.759 0.759 0.346
4 Se 0.500 0.500 0.500

---

Entry 3:
## TlMo2Se (PBE)

Data for a relaxed structure of TlMo2Se.

The energy relative to the elements, uncorrected is 0.661 eV/atom. As for the symmetry: P2/m. The volume is 18.52 Å³ per atom. The calculation puts the energy above the most stable polymorph in this dataset at 466 meV/atom.

Lattice parameters (Å, degrees): 3.205 3.885 6.144 90.00 104.47 90.00
Fractional positions:
1 Tl 0.000 0.000 0.000
2 Mo 0.339 0.500 0.709
3 Mo 0.661 0.500 0.291
4 Se 0.500 0.000 0.500

---

Entry 4:
## TlMo2Se (PBE)

Data for a relaxed structure of TlMo2Se.

The energy relative to the elements, uncorrected is 0.422 eV/atom. As for the symmetry: Cm. The volume is 21.22 Å³ per atom. The calculation puts the energy above the most stable polymorph in this dataset at 227 meV/atom.

Lattice parameters (Å, degrees): 4.744 4.744 5.972 101.52 101.52 40.25
Fractional positions:
1 Tl 0.000 0.000 0.000
2 Mo 0.476 0.476 0.470
3 Mo 0.772 0.772 0.282
4 Se 0.218 0.218 0.598

---

Entry 5:
## TlMo2Se (PBE)

Data for a relaxed structure of TlMo2Se.

The energy relative to the elements, uncorrected is 0.195 eV/atom. As for the symmetry: P4mm. The volume is 20.72 Å³ per atom. The calculation puts the energy above the most stable polymorph in this dataset at 0 meV/atom.

Lattice parameters (Å, degrees): 3.252 3.252 7.838 90.00 90.00 90.00
Fractional positions:
1 Tl 0.000 0.000 0.000
2 Mo 0.000 0.000 0.432
3 Mo 0.500 0.500 0.258
4 Se 0.500 0.500 0.612

---

Entry 6:
## TlMo2Se (PBE)

Data for a relaxed structure of TlMo2Se.

The energy relative to the elements, uncorrected is 0.752 eV/atom. As for the symmetry: F-43m. The volume is 18.31 Å³ per atom. The calculation puts the energy above the most stable polymorph in this dataset at 557 meV/atom.

Lattice parameters (Å, degrees): 4.696 4.696 4.696 60.00 60.00 60.00
Fractional positions:
1 Tl 0.000 0.000 0.000
2 Mo 0.250 0.250 0.250
3 Mo 0.500 0.500 0.500
4 Se 0.750 0.750 0.750

---

Entry 7:
## TlMo3Se (PBE)

Data for a relaxed structure of TlMo3Se.

The energy relative to the elements, uncorrected is 1.047 eV/atom. As for the symmetry: Pm-3m. The volume is 20.08 Å³ per atom. The calculation puts the energy above the most stable polymorph in this dataset at 0 meV/atom.

Lattice parameters (Å, degrees): 4.648 4.648 4.648 90.00 90.00 90.00
Fractional positions:
1 Tl 0.000 0.000 0.000
2 Mo 0.000 0.500 0.500
3 Mo 0.500 0.000 0.500
4 Mo 0.500 0.500 0.000
5 Se 0.500 0.500 0.500

---

Entry 8:
## TlMo2Se (PBE)

Data for a relaxed structure of TlMo2Se.

The energy relative to the elements, uncorrected is 0.473 eV/atom. As for the symmetry: P4/mmm. The volume is 17.63 Å³ per atom. The calculation puts the energy above the most stable polymorph in this dataset at 278 meV/atom.

Lattice parameters (Å, degrees): 3.162 3.162 7.056 90.00 90.00 90.00
Fractional positions:
1 Tl 0.000 0.000 0.000
2 Mo 0.500 0.500 0.298
3 Mo 0.500 0.500 0.702
4 Se 0.000 0.000 0.500

---

Entry 9:
## Tl2MoSe5 (PBE)

Data for a relaxed structure of Tl2MoSe5.

The energy relative to the elements, uncorrected is -0.246 eV/atom. As for the symmetry: Imm2. The volume is 35.90 Å³ per atom.

Lattice parameters (Å, degrees): 8.102 8.102 8.102 139.46 121.91 73.23
Fractional positions:
1 Tl 0.000 0.000 0.000
2 Tl 0.468 0.468 0.000
3 Mo 0.711 0.211 0.500
4 Se 0.421 0.420 0.538
5 Se 0.421 0.883 0.001
6 Se 0.882 0.420 0.999
7 Se 0.882 0.883 0.462
8 Se 0.889 0.389 0.500

---

Entry 10:
## Tl2Mo15Se19 (PBE)

Data for a relaxed structure of Tl2Mo15Se19.

The energy relative to the elements, uncorrected is -0.524 eV/atom. As for the symmetry: R-3c. The volume is 22.79 Å³ per atom.

Lattice parameters (Å, degrees): 20.414 20.414 20.414 27.86 27.86 27.86
Fractional positions:
1 Tl 0.111 0.111 0.111
2 Tl 0.389 0.389 0.389
3 Tl 0.611 0.611 0.611
4 Tl 0.889 0.889 0.889
5 Mo 0.000 0.128 0.814
6 Mo 0.000 0.872 0.186
7 Mo 0.049 0.361 0.223
8 Mo 0.092 0.250 0.408
9 Mo 0.128 0.814 0.000
10 Mo 0.139 0.451 0.277
11 Mo 0.186 0.000 0.872
12 Mo 0.223 0.049 0.361
13 Mo 0.250 0.408 0.092
14 Mo 0.277 0.139 0.451
15 Mo 0.314 0.628 0.500
16 Mo 0.361 0.223 0.049
17 Mo 0.372 0.500 0.686
18 Mo 0.408 0.092 0.250
19 Mo 0.451 0.277 0.139
20 Mo 0.500 0.314 0.628
21 Mo 0.500 0.686 0.372
22 Mo 0.549 0.723 0.861
23 Mo 0.592 0.908 0.750
24 Mo 0.628 0.500 0.314
25 Mo 0.639 0.777 0.951
26 Mo 0.686 0.372 0.500
27 Mo 0.723 0.861 0.549
28 Mo 0.750 0.592 0.908
29 Mo 0.777 0.951 0.639
30 Mo 0.814 0.000 0.128
31 Mo 0.861 0.549 0.723
32 Mo 0.872 0.186 0.000
33 Mo 0.908 0.750 0.592
34 Mo 0.951 0.639 0.777
35 Se 0.034 0.688 0.421
36 Se 0.053 0.303 0.693
37 Se 0.054 0.054 0.054
38 Se 0.056 0.444 0.750
39 Se 0.079 0.812 0.466
40 Se 0.176 0.176 0.176
41 Se 0.188 0.534 0.921
42 Se 0.193 0.803 0.553
43 Se 0.197 0.447 0.807
44 Se 0.250 0.944 0.556
45 Se 0.303 0.693 0.053
46 Se 0.307 0.947 0.697
47 Se 0.312 0.579 0.966
48 Se 0.324 0.324 0.324
49 Se 0.421 0.034 0.688
50 Se 0.444 0.750 0.056
51 Se 0.446 0.446 0.446
52 Se 0.447 0.807 0.197
53 Se 0.466 0.079 0.812
54 Se 0.534 0.921 0.188
55 Se 0.553 0.193 0.803
56 Se 0.554 0.554 0.554
57 Se 0.556 0.250 0.944
58 Se 0.579 0.966 0.312
59 Se 0.676 0.676 0.676
60 Se 0.688 0.421 0.034
61 Se 0.693 0.053 0.303
62 Se 0.697 0.307 0.947
63 Se 0.750 0.056 0.444
64 Se 0.803 0.553 0.193
65 Se 0.807 0.197 0.447
66 Se 0.812 0.466 0.079
67 Se 0.824 0.824 0.824
68 Se 0.921 0.188 0.534
69 Se 0.944 0.556 0.250
70 Se 0.946 0.946 0.946
71 Se 0.947 0.697 0.307
72 Se 0.966 0.312 0.579

---

Entry 11:
## TlMo2Se (PBE)

Data for a relaxed structure of TlMo2Se.

The energy relative to the elements, uncorrected is 0.678 eV/atom. As for the symmetry: Cmmm. The volume is 18.69 Å³ per atom. The calculation puts the energy above the most stable polymorph in this dataset at 482 meV/atom.

Lattice parameters (Å, degrees): 3.134 3.134 8.875 90.00 90.00 120.92
Fractional positions:
1 Tl 0.000 0.000 0.000
2 Mo 0.500 0.500 0.278
3 Mo 0.500 0.500 0.722
4 Se 0.000 0.000 0.500

---

Entry 12:
## TlMo2Se (PBE)

Data for a relaxed structure of TlMo2Se.

The energy relative to the elements, uncorrected is 0.518 eV/atom. As for the symmetry: Imm2. The volume is 19.45 Å³ per atom. The calculation puts the energy above the most stable polymorph in this dataset at 322 meV/atom.

Lattice parameters (Å, degrees): 5.818 5.818 5.818 147.86 131.49 59.38
Fractional positions:
1 Tl 0.000 0.000 0.000
2 Mo 0.502 0.502 0.000
3 Mo 0.693 0.193 0.500
4 Se 0.279 0.779 0.500

---

Entry 13:
## TlMo2Se (PBE)

Data for a relaxed structure of TlMo2Se.

The energy relative to the elements, uncorrected is 0.790 eV/atom. As for the symmetry: Pmmm. The volume is 18.46 Å³ per atom. The calculation puts the energy above the most stable polymorph in this dataset at 594 meV/atom.

Lattice parameters (Å, degrees): 3.262 4.636 4.883 90.00 90.00 90.00
Fractional positions:
1 Tl 0.000 0.000 0.000
2 Mo 0.000 0.500 0.500
3 Mo 0.500 0.500 0.000
4 Se 0.500 0.000 0.500

---

Entry 14:
## U2MoSe (PBE)

Data for a relaxed structure of U2MoSe.

The energy relative to the elements, uncorrected is 0.026 eV/atom. As for the symmetry: R-3m. The volume is 21.46 Å³ per atom.

Lattice parameters (Å, degrees): 8.804 8.804 8.804 22.26 22.26 22.26
Fractional positions:
1 U 0.249 0.249 0.249
2 U 0.751 0.751 0.751
3 Mo 0.500 0.500 0.500
4 Se 0.000 0.000 0.000

---

Entry 15:
## UMo4Se8 (PBE)

Data for a relaxed structure of UMo4Se8.

The energy relative to the elements, uncorrected is -0.401 eV/atom. As for the symmetry: R-3m. The volume is 21.85 Å³ per atom.

Lattice parameters (Å, degrees): 7.716 7.716 7.716 54.62 54.62 54.62
Fractional positions:
1 U 0.000 0.000 0.000
2 Mo 0.000 0.000 0.500
3 Mo 0.000 0.500 0.000
4 Mo 0.500 0.000 0.000
5 Mo 0.500 0.500 0.500
6 Se 0.247 0.247 0.247
7 Se 0.259 0.259 0.735
8 Se 0.259 0.735 0.259
9 Se 0.265 0.741 0.741
10 Se 0.735 0.259 0.259
11 Se 0.741 0.265 0.741
12 Se 0.741 0.741 0.265
13 Se 0.753 0.753 0.753

---

Entry 16:
## VMo6Se8 (PBE)

Data for a relaxed structure of VMo6Se8.

The energy relative to the elements, uncorrected is -0.449 eV/atom. As for the symmetry: R-3. The volume is 19.80 Å³ per atom.

Lattice parameters (Å, degrees): 6.673 6.673 6.673 90.70 90.70 90.70
Fractional positions:
1 V 0.000 0.000 0.000
2 Mo 0.225 0.423 0.552
3 Mo 0.423 0.552 0.225
4 Mo 0.448 0.775 0.577
5 Mo 0.552 0.225 0.423
6 Mo 0.577 0.448 0.775
7 Mo 0.775 0.577 0.448
8 Se 0.127 0.758 0.361
9 Se 0.224 0.224 0.224
10 Se 0.242 0.639 0.873
11 Se 0.361 0.127 0.758
12 Se 0.639 0.873 0.242
13 Se 0.758 0.361 0.127
14 Se 0.776 0.776 0.776
15 Se 0.873 0.242 0.639

---

Entry 17:
## VMo2Se6 (PBE)

Data for a relaxed structure of VMo2Se6.

The energy relative to the elements, uncorrected is -0.259 eV/atom. As for the symmetry: P2_1/c. The volume is 21.51 Å³ per atom.

Lattice parameters (Å, degrees): 6.195 6.135 11.879 90.00 120.99 90.00
Fractional positions:
1 V 0.000 0.000 0.000
2 V 0.000 0.500 0.500
3 Mo 0.179 0.152 0.745
4 Mo 0.179 0.348 0.245
5 Mo 0.821 0.652 0.755
6 Mo 0.821 0.848 0.255
7 Se 0.102 0.162 0.410
8 Se 0.102 0.338 0.910
9 Se 0.244 0.670 0.406
10 Se 0.244 0.830 0.906
11 Se 0.397 0.030 0.221
12 Se 0.397 0.470 0.721
13 Se 0.603 0.530 0.279
14 Se 0.603 0.970 0.779
15 Se 0.756 0.170 0.094
16 Se 0.756 0.330 0.594
17 Se 0.898 0.662 0.090
18 Se 0.898 0.838 0.590

---

Entry 18:
## V2MoSe4 (PBE)

Data for a relaxed structure of V2MoSe4.

The energy relative to the elements, uncorrected is -0.582 eV/atom. As for the symmetry: C2/m. The volume is 17.92 Å³ per atom.

Lattice parameters (Å, degrees): 6.946 6.946 6.221 114.45 114.45 27.51
Fractional positions:
1 V 0.245 0.245 0.175
2 V 0.755 0.755 0.825
3 Mo 0.500 0.500 0.500
4 Se 0.144 0.144 0.477
5 Se 0.394 0.394 0.050
6 Se 0.606 0.606 0.950
7 Se 0.856 0.856 0.523

---

Entry 19:
## VMoSe2 (PBE)

Data for a relaxed structure of VMoSe2.

The energy relative to the elements, uncorrected is -0.084 eV/atom. As for the symmetry: Fm-3m. The volume is 15.80 Å³ per atom. The calculation puts the energy above the most stable polymorph in this dataset at 0 meV/atom.

Lattice parameters (Å, degrees): 4.471 4.471 4.471 60.00 60.00 60.00
Fractional positions:
1 V 0.000 0.000 0.000
2 Mo 0.500 0.500 0.500
3 Se 0.250 0.250 0.250
4 Se 0.750 0.750 0.750

---

Entry 20:
## VMoSe3 (PBE)

Data for a relaxed structure of VMoSe3.

The energy relative to the elements, uncorrected is -0.384 eV/atom. As for the symmetry: Pm. The volume is 20.34 Å³ per atom. The calculation puts the energy above the most stable polymorph in this dataset at 0 meV/atom.

Lattice parameters (Å, degrees): 5.266 3.273 6.352 90.00 111.68 90.00
Fractional positions:
1 V 0.000 0.000 0.000
2 Mo 0.134 0.500 0.712
3 Se 0.365 0.500 0.140
4 Se 0.661 0.500 0.760
5 Se 0.976 0.000 0.390

---

Entry 21:
## VMoSe2 (PBE)

Data for a relaxed structure of VMoSe2.

The energy relative to the elements, uncorrected is -0.013 eV/atom. As for the symmetry: R-3m. The volume is 17.33 Å³ per atom. The calculation puts the energy above the most stable polymorph in this dataset at 71 meV/atom.

Lattice parameters (Å, degrees): 8.603 8.603 8.603 20.65 20.65 20.65
Fractional positions:
1 V 0.000 0.000 0.000
2 Mo 0.500 0.500 0.500
3 Se 0.401 0.401 0.401
4 Se 0.599 0.599 0.599

---

Entry 22:
## VMoSe (PBE)

Data for a relaxed structure of VMoSe.

The energy relative to the elements, uncorrected is 0.151 eV/atom. As for the symmetry: P2_1/m. The volume is 18.33 Å³ per atom.

Lattice parameters (Å, degrees): 4.359 5.054 4.994 90.00 90.51 90.00
Fractional positions:
1 V 0.000 0.000 0.000
2 V 0.000 0.500 0.000
3 Mo 0.486 0.250 0.138
4 Mo 0.514 0.750 0.862
5 Se 0.301 0.750 0.349
6 Se 0.699 0.250 0.651

---

Entry 23:
## VMoSe3 (PBE)

Data for a relaxed structure of VMoSe3.

The energy relative to the elements, uncorrected is 0.488 eV/atom. As for the symmetry: Pm-3m. The volume is 23.93 Å³ per atom. The calculation puts the energy above the most stable polymorph in this dataset at 872 meV/atom.

Lattice parameters (Å, degrees): 4.927 4.927 4.927 90.00 90.00 90.00
Fractional positions:
1 V 0.000 0.000 0.000
2 Mo 0.500 0.500 0.500
3 Se 0.000 0.500 0.500
4 Se 0.500 0.000 0.500
5 Se 0.500 0.500 0.000